(1)
## La6PrDy8 (PBE)

Data for a geometry-optimized La6PrDy8 structure.

a = 9.1499 Å, b = 9.1499 Å, c = 21.3314 Å
α = 90.00°, β = 90.00°, γ = 120.00°
Space group R-3 (No. 148, hexagonal axes)
Unique sites:
La: 0.0523 0.2463 0.2131 x18
Pr: 0.0000 0.0000 0.5000 x3
Dy: 0.0000 0.0000 0.0768 x6
Dy: 0.0796 0.5691 0.3062 x18

Properties
Magnetic moment ... 0.00 μB per cell
Final energy ... -208.25 eV for the cell shown

***

(2)
## TbPm2Ge2Pt7 (PBE)

Data for a geometry-optimized TbPm2Ge2Pt7 structure.

a = 5.8321 Å, b = 5.7688 Å, c = 14.1342 Å
α = 90.00°, β = 98.52°, γ = 90.00°
Space group C2/m (No. 12)
Unique sites:
Tb: 0.0000 0.0000 0.0000 x2
Pm: 0.1146 0.0000 0.3566 x4
Ge: 0.0931 0.5000 0.2545 x4
Pt: 0.0000 0.5000 0.0000 x2
Pt: 0.1252 0.5000 0.4292 x4
Pt: 0.1936 0.2504 0.8462 x8

Properties
Magnetic moment ... 0.00 μB per cell
Final energy ... -154.97 eV for the cell shown